# Pr6Ho3Th, relaxed, DFT PBE
data_Pr6Ho3Th
_chemical_formula_sum 'Pr12 Ho6 Th2'
_space_group_name_H-M_alt 'P 1'
_space_group_IT_number 1
_space_group_name_Hall 'P 1'
_cell_length_a 3.657
_cell_length_b 6.293
_cell_length_c 29.993
_cell_angle_alpha 93.88
_cell_angle_beta 96.99
_cell_angle_gamma 90.04
loop_
_atom_site_label
_atom_site_fract_x
_atom_site_fract_y
_atom_site_fract_z
Ho1 0.703 0.903 0.201
Ho2 0.200 0.734 0.701
Ho3 0.800 0.266 0.299
Ho4 0.297 0.097 0.799
Ho5 0.000 0.000 0.500
Ho6 0.500 0.500 0.000
Pr1 0.903 0.630 0.402
Pr2 0.203 0.403 0.201
Pr3 0.097 0.370 0.598
Pr4 0.797 0.597 0.799
Pr5 0.403 0.808 0.902
Pr6 0.402 0.139 0.401
Pr7 0.300 0.768 0.298
Pr8 0.902 0.298 0.901
Pr9 0.598 0.861 0.599
Pr10 0.597 0.192 0.098
Pr11 0.098 0.702 0.099
Pr12 0.700 0.232 0.702
Th1 0.000 0.000 0.000
Th2 0.500 0.500 0.500
# final energy	-4.96	eV per atom
# SG	P-1, No. 2
# energy relative to the elements	0.3	eV/f.u.


# Pr2Ho4Th, relaxed, DFT PBE
data_Pr2Ho4Th
_chemical_formula_sum 'Pr2 Ho4 Th1'
_space_group_name_H-M_alt 'P 1'
_space_group_IT_number 1
_space_group_name_Hall 'P 1'
_cell_length_a 3.610
_cell_length_b 3.614
_cell_length_c 20.426
_cell_angle_alpha 95.17
_cell_angle_beta 90.00
_cell_angle_gamma 119.96
loop_
_atom_site_label
_atom_site_fract_x
_atom_site_fract_y
_atom_site_fract_z
Ho1 0.902 0.805 0.948
Ho2 0.431 0.863 0.527
Ho3 0.524 0.048 0.810
Ho4 0.000 0.001 0.239
Pr1 0.714 0.428 0.382
Pr2 0.624 0.248 0.094
Th1 0.805 0.611 0.668
# final energy	-5.01	eV per atom
# SG	Cm, No. 8
# energy relative to the elements	0.2	eV/f.u.


# Pr2HoTh, relaxed, DFT PBE
data_Pr2HoTh
_chemical_formula_sum 'Pr2 Ho1 Th1'
_space_group_name_H-M_alt 'P 1'
_space_group_IT_number 1
_space_group_name_Hall 'P 1'
_cell_length_a 3.647
_cell_length_b 3.647
_cell_length_c 11.968
_cell_angle_alpha 81.24
_cell_angle_beta 81.24
_cell_angle_gamma 60.00
loop_
_atom_site_label
_atom_site_fract_x
_atom_site_fract_y
_atom_site_fract_z
Ho1 0.500 0.500 0.500
Pr1 0.251 0.251 0.248
Pr2 0.082 0.082 0.753
Th1 0.667 0.667 0.000
# final energy	-5.35	eV per atom
# SG	R3m, No. 160
# energy relative to the elements	0.2	eV/f.u.


# PrHo8Th2, relaxed, DFT PBE
data_PrHo8Th2
_chemical_formula_sum 'Pr1 Ho8 Th2'
_space_group_name_H-M_alt 'P 1'
_space_group_IT_number 1
_space_group_name_Hall 'P 1'
_cell_length_a 6.136
_cell_length_b 7.961
_cell_length_c 7.977
_cell_angle_alpha 107.53
_cell_angle_beta 104.97
_cell_angle_gamma 97.62
loop_
_atom_site_label
_atom_site_fract_x
_atom_site_fract_y
_atom_site_fract_z
Ho1 0.767 0.458 0.088
Ho2 0.233 0.542 0.912
Ho3 0.320 0.365 0.276
Ho4 0.052 0.909 0.188
Ho5 0.139 0.729 0.543
Ho6 0.861 0.271 0.457
Ho7 0.680 0.635 0.724
Ho8 0.948 0.091 0.812
Th1 0.410 0.182 0.631
Th2 0.590 0.818 0.369
Pr1 0.500 0.000 0.000
# final energy	-5.08	eV per atom
# SG	P-1, No. 2
# energy relative to the elements	0.3	eV/f.u.


Look up the energy relative to the elements of the fourth one. 0.3 eV/f.u.